# 1
Entry from Alexandria: a relaxed Na2MoO crystal (PBEsol).

Structure (POSCAR):
```
Na2MoO
1.0
-4.8471 4.8471 1.9180
4.8471 -4.8471 1.9180
4.8471 4.8471 -1.9180
Na Mo O
4 2 2
direct
0.3750 0.0227 0.1477
0.7727 0.6250 0.6477
0.8750 0.2273 0.8523
0.9773 0.1250 0.3523
0.2500 0.7500 0.5000
0.5000 0.5000 0.0000
0.0000 0.0000 0.0000
0.7500 0.2500 0.5000
```

Calculated values
- DOS(E_F): 2.57 states/eV/f.u.
- Formation energy without anion corrections: -0.0474 eV per atom

---

# 2
Entry from Alexandria: a relaxed ReNi2Pt crystal (PBEsol).

Structure (POSCAR):
```
ReNi2Pt
1.0
2.6547 0.0000 0.0000
0.0000 3.7389 0.0000
0.0000 0.0000 5.0948
Re Ni Pt
1 2 1
direct
0.0000 0.0000 0.0000
0.0000 0.0000 0.4730
0.5000 0.5000 0.2379
0.5000 0.5000 0.7348
```

Calculated values
- DOS(E_F): 4.34 states/eV/f.u.
- Energy above the most stable polymorph in this dataset: 32.2 meV/atom
- Energy of formation: -16.0 kJ/mol of formula units

---

# 3
Entry from Alexandria: a relaxed NbNiIrPt2 crystal (PBEsol).

Structure (POSCAR):
```
NbNiIrPt2
1.0
4.7015 0.0000 0.0000
0.0000 4.7015 0.0000
0.0000 0.0000 4.3227
Nb Ni Ir Pt
1 1 1 2
direct
0.0000 0.0000 0.0000
0.0000 0.0000 0.5000
0.5000 0.5000 0.5000
0.0000 0.5000 0.0000
0.5000 0.0000 0.0000
```

Calculated values
- DOS(E_F): 5.22 states/eV/f.u.
- Energy of formation: 829.6 kJ/mol of formula units

---

# 4
Entry from Alexandria: a relaxed AlSbAu crystal (PBEsol).

Structure (POSCAR):
```
AlSbAu
1.0
0.0000 3.2198 3.2198
3.2198 0.0000 3.2198
3.2198 3.2198 0.0000
Al Sb Au
1 1 1
direct
0.0000 0.0000 0.0000
0.5000 0.5000 0.5000
0.7500 0.7500 0.7500
```

Calculated values
- DOS(E_F): 1.63 states/eV/f.u.
- Energy above the most stable polymorph in this dataset: 0.0 meV/atom
- Formation energy without anion corrections: -0.0599 eV per atom

---

# 5
Entry from Alexandria: a relaxed Cu2TcIr crystal (PBEsol).

Structure (POSCAR):
```
Cu2TcIr
1.0
4.1944 0.0000 0.0000
0.0000 4.1944 0.0000
0.0000 0.0000 2.8687
Cu Tc Ir
2 1 1
direct
0.0000 0.5000 0.0000
0.5000 0.0000 0.0000
0.0000 0.0000 0.5000
0.5000 0.5000 0.5000
```

Calculated values
- DOS(E_F): 3.61 states/eV/f.u.
- Energy above the most stable polymorph in this dataset: 326.1 meV/atom
- Energy of formation: 141.8 kJ/mol of formula units

---

# 6
Entry from Alexandria: a relaxed Te3MoIr crystal (PBEsol).

Structure (POSCAR):
```
Te3MoIr
1.0
5.1409 0.0000 0.0000
0.0000 5.1409 0.0000
0.0000 0.0000 5.1409
Te Mo Ir
3 1 1
direct
0.0000 0.0000 0.5000
0.0000 0.5000 0.0000
0.5000 0.0000 0.0000
0.5000 0.5000 0.5000
0.0000 0.0000 0.0000
```

Calculated values
- DOS(E_F): 5.40 states/eV/f.u.
- Formation energy without anion corrections: 1.2074 eV per atom

---

# 7
Entry from Alexandria: a relaxed KCN2 crystal (PBEsol).

Structure (POSCAR):
```
KCN2
1.0
1.3020 0.7517 6.7339
-1.3020 0.7517 6.7339
0.0000 -1.5034 6.7339
K C N
1 1 2
direct
0.0000 0.0000 0.0000
0.5000 0.5000 0.5000
0.1227 0.1227 0.1227
0.8773 0.8773 0.8773
```

Calculated values
- DOS(E_F): 2.44 states/eV/f.u.
- Energy above the most stable polymorph in this dataset: 1952.8 meV/atom
- Formation energy without anion corrections: 1.9948 eV per atom

---

# 8
Entry from Alexandria: a relaxed CaAgTe2 crystal (PBEsol).

Structure (POSCAR):
```
CaAgTe2
1.0
3.3432 -3.7555 0.0000
3.3432 3.7555 0.0000
0.0000 0.0000 3.9977
Ca Ag Te
1 1 2
direct
0.0000 0.0000 0.0000
0.5000 0.5000 0.0000
0.0000 0.5000 0.5000
0.5000 0.0000 0.5000
```

Calculated values
- DOS(E_F): 1.66 states/eV/f.u.
- Formation energy without anion corrections: -0.6061 eV per atom

---

# 9
Entry from Alexandria: a relaxed Li2InPb crystal (PBEsol).

Structure (POSCAR):
```
Li2InPb
1.0
3.3302 0.0000 0.0000
0.0000 3.6447 0.0000
0.0000 0.0000 6.6896
Li In Pb
2 1 1
direct
0.0000 0.0000 0.2422
0.0000 0.0000 0.7578
0.5000 0.5000 0.0000
0.5000 0.5000 0.5000
```

Calculated values
- DOS(E_F): 1.22 states/eV/f.u.
- Energy above the most stable polymorph in this dataset: 3.8 meV/atom
- Energy of formation: -112.2 kJ/mol of formula units

---

# 10
Entry from Alexandria: a relaxed KLa2 crystal (PBEsol).

Structure (POSCAR):
```
KLa2
1.0
6.2347 0.0000 0.0000
-3.1173 5.3994 0.0000
0.0000 0.0000 3.4910
K La
1 2
direct
0.0000 0.0000 0.0000
0.3333 0.6667 0.7397
0.6667 0.3333 0.2603
```

Calculated values
- DOS(E_F): 3.58 states/eV/f.u.
- Energy of formation: 135.6 kJ/mol of formula units

---

# 11
Entry from Alexandria: a relaxed In2NiHg crystal (PBEsol).

Structure (POSCAR):
```
In2NiHg
1.0
-2.0899 2.0899 4.3340
2.0899 -2.0899 4.3340
2.0899 2.0899 -4.3340
In Ni Hg
2 1 1
direct
0.0000 0.0000 0.0000
0.7500 0.2500 0.5000
0.5000 0.5000 0.0000
0.2500 0.7500 0.5000
```

Calculated values
- DOS(E_F): 2.61 states/eV/f.u.
- Energy of formation: 65.1 kJ/mol of formula units

---

# 12
Entry from Alexandria: a relaxed GaHgSb2I crystal (PBEsol).

Structure (POSCAR):
```
GaHgSb2I
1.0
5.2785 0.0000 0.0000
0.0000 5.2785 0.0000
0.0000 0.0000 5.5935
Ga Hg Sb I
1 1 2 1
direct
0.0000 0.0000 0.0000
0.5000 0.5000 0.5000
0.0000 0.5000 0.0000
0.5000 0.0000 0.0000
0.0000 0.0000 0.5000
```

Calculated values
- DOS(E_F): 4.32 states/eV/f.u.
- Formation energy without anion corrections: 0.4434 eV per atom

---

# 13
Entry from Alexandria: a relaxed BaRh3Pb6 crystal (PBEsol).

Structure (POSCAR):
```
BaRh3Pb6
1.0
4.1016 -13.4615 0.0000
4.1016 13.4615 0.0000
0.0000 0.0000 4.5029
Ba Rh Pb
2 6 12
direct
0.0894 0.9106 0.7500
0.9106 0.0894 0.2500
0.0947 0.5299 0.2500
0.4631 0.5369 0.2500
0.4701 0.9053 0.2500
0.5299 0.0947 0.7500
0.5369 0.4631 0.7500
0.9053 0.4701 0.7500
0.0276 0.3700 0.7500
0.2487 0.7513 0.7500
0.2500 0.3420 0.7500
0.3420 0.2500 0.2500
0.3655 0.6345 0.2500
0.3700 0.0276 0.2500
0.6300 0.9724 0.7500
0.6345 0.3655 0.7500
0.6580 0.7500 0.7500
0.7500 0.6580 0.2500
0.7513 0.2487 0.2500
0.9724 0.6300 0.2500
```

Calculated values
- DOS(E_F): 4.32 states/eV/f.u.
- Energy of formation: -238.0 kJ/mol of formula units

---

# 14
Entry from Alexandria: a relaxed Ag2POs crystal (PBEsol).

Structure (POSCAR):
```
Ag2POs
1.0
-1.8105 1.8105 4.6325
1.8105 -1.8105 4.6325
1.8105 1.8105 -4.6325
Ag P Os
2 1 1
direct
0.2500 0.7500 0.5000
0.7500 0.2500 0.5000
0.0000 0.0000 0.0000
0.5000 0.5000 0.0000
```

Calculated values
- DOS(E_F): 4.56 states/eV/f.u.
- Energy of formation: 255.5 kJ/mol of formula units

---

# 15
Entry from Alexandria: a relaxed KLiIr crystal (PBEsol).

Structure (POSCAR):
```
KLiIr
1.0
5.0415 0.0000 0.0000
-2.5207 4.3660 0.0000
0.0000 0.0000 2.5763
K Li Ir
1 1 1
direct
0.0000 0.0000 0.0000
0.3333 0.6667 0.0230
0.6667 0.3333 0.5044
```

Calculated values
- DOS(E_F): 1.61 states/eV/f.u.
- Energy above the most stable polymorph in this dataset: 0.0 meV/atom
- Energy of formation: 153.5 kJ/mol of formula units

---

# 16
Entry from Alexandria: a relaxed Tc2IrOs crystal (PBEsol).

Structure (POSCAR):
```
Tc2IrOs
1.0
-1.9132 1.9132 3.8111
1.9132 -1.9132 3.8111
1.9132 1.9132 -3.8111
Tc Ir Os
2 1 1
direct
0.2500 0.7500 0.5000
0.7500 0.2500 0.5000
0.0000 0.0000 0.0000
0.5000 0.5000 0.0000
```

Calculated values
- DOS(E_F): 3.71 states/eV/f.u.
- Energy above the most stable polymorph in this dataset: 126.5 meV/atom
- Energy of formation: -33.2 kJ/mol of formula units

---

# 17
Entry from Alexandria: a relaxed MgRuCl3 crystal (PBEsol).

Structure (POSCAR):
```
MgRuCl3
1.0
4.7968 0.0000 0.0000
0.0000 4.7968 0.0000
0.0000 0.0000 4.7968
Mg Ru Cl
1 1 3
direct
0.0000 0.0000 0.0000
0.5000 0.5000 0.5000
0.0000 0.0000 0.5000
0.0000 0.5000 0.0000
0.5000 0.0000 0.0000
```

Calculated values
- DOS(E_F): 2.67 states/eV/f.u.
- Formation energy without anion corrections: -0.1296 eV per atom

---

# 18
Entry from Alexandria: a relaxed TlHg3 crystal (PBEsol).

Structure (POSCAR):
```
TlHg3
1.0
3.3612 0.0000 0.0000
-1.6806 2.9109 0.0000
0.0000 0.0000 10.1671
Tl Hg
1 3
direct
0.0000 0.0000 0.0000
0.0000 0.0000 0.5000
0.6667 0.3333 0.2612
0.6667 0.3333 0.7388
```

Calculated values
- DOS(E_F): 1.21 states/eV/f.u.
- Energy of formation: -1.9 kJ/mol of formula units

---

# 19
Entry from Alexandria: a relaxed KSn2Sb2 crystal (PBEsol).

Structure (POSCAR):
```
KSn2Sb2
1.0
-2.6680 2.6680 6.0837
2.6680 -2.6680 6.0837
2.6680 2.6680 -6.0837
K Sn Sb
1 2 2
direct
0.0000 0.0000 0.0000
0.2500 0.7500 0.5000
0.7500 0.2500 0.5000
0.3624 0.3624 0.0000
0.6376 0.6376 0.0000
```

Calculated values
- DOS(E_F): 1.90 states/eV/f.u.
- Formation energy without anion corrections: -0.1087 eV per atom

---

# 20
Entry from Alexandria: a relaxed KYMn crystal (PBEsol).

Structure (POSCAR):
```
KYMn
1.0
5.4924 0.0000 0.0000
-2.7462 4.7565 0.0000
0.0000 0.0000 3.2295
K Y Mn
1 1 1
direct
0.0000 0.0000 0.0000
0.6667 0.3333 0.6619
0.3333 0.6667 0.2486
```

Calculated values
- DOS(E_F): 5.03 states/eV/f.u.
- Energy of formation: 305.2 kJ/mol of formula units

---

# 21
Entry from Alexandria: a relaxed Cd2HgPt2 crystal (PBEsol).

Structure (POSCAR):
```
Cd2HgPt2
1.0
7.1341 0.0000 0.0000
0.0000 7.1341 0.0000
0.0000 0.0000 3.6635
Cd Hg Pt
4 2 4
direct
0.1615 0.3385 0.0000
0.3385 0.8385 0.0000
0.6615 0.1615 0.0000
0.8385 0.6615 0.0000
0.0000 0.0000 0.5000
0.5000 0.5000 0.5000
0.1363 0.6363 0.5000
0.3637 0.1363 0.5000
0.6363 0.8637 0.5000
0.8637 0.3637 0.5000
```

Calculated values
- DOS(E_F): 2.17 states/eV/f.u.
- Energy of formation: -87.5 kJ/mol of formula units

---

# 22
Entry from Alexandria: a relaxed La2FeSi crystal (PBEsol).

Structure (POSCAR):
```
La2FeSi
1.0
2.0092 1.1600 7.5297
-2.0092 1.1600 7.5297
0.0000 -2.3200 7.5297
La Fe Si
2 1 1
direct
0.0000 0.0000 0.0000
0.1674 0.1674 0.1674
0.7504 0.7504 0.7504
0.4169 0.4169 0.4169
```

Calculated values
- DOS(E_F): 4.53 states/eV/f.u.
- Formation energy without anion corrections: -0.3684 eV per atom

---

# 23
Entry from Alexandria: a relaxed InSbAu crystal (PBEsol).

Structure (POSCAR):
```
InSbAu
1.0
4.0341 0.0000 0.0000
-2.0171 3.4936 0.0000
0.0000 0.0000 5.0982
In Sb Au
1 1 1
direct
0.0000 0.0000 0.0000
0.3333 0.6667 0.5904
0.6667 0.3333 0.3012
```

Calculated values
- DOS(E_F): 1.74 states/eV/f.u.
- Formation energy without anion corrections: -0.0757 eV per atom

---

# 24
Entry from Alexandria: a relaxed MnAlRe2 crystal (PBEsol).

Structure (POSCAR):
```
MnAlRe2
1.0
2.6956 0.0000 0.0000
0.0000 3.8533 0.0000
0.0000 0.0000 5.1641
Mn Al Re
1 1 2
direct
0.0000 0.0000 0.0000
0.0000 0.0000 0.5000
0.5000 0.5000 0.2448
0.5000 0.5000 0.7552
```

Calculated values
- DOS(E_F): 3.17 states/eV/f.u.
- Energy of formation: 16.0 kJ/mol of formula units

---

# 25
Entry from Alexandria: a relaxed RbAuCl3 crystal (PBEsol).

Structure (POSCAR):
```
RbAuCl3
1.0
5.0376 0.0000 0.0000
0.0000 5.0376 0.0000
0.0000 0.0000 5.0376
Rb Au Cl
1 1 3
direct
0.0000 0.0000 0.0000
0.5000 0.5000 0.5000
0.0000 0.5000 0.5000
0.5000 0.0000 0.5000
0.5000 0.5000 0.0000
```

Calculated values
- DOS(E_F): 0.97 states/eV/f.u.
- Formation energy without anion corrections: -0.9670 eV per atom

---

# 26
Entry from Alexandria: a relaxed Li5SbS crystal (PBEsol).

Structure (POSCAR):
```
Li5SbS
1.0
11.3554 0.0000 0.0000
0.0000 7.9002 0.0000
-10.4614 0.0000 11.6453
Li Sb S
40 8 8
direct
0.0194 0.0921 0.1797
0.0194 0.4079 0.6797
0.0204 0.0927 0.6802
0.0204 0.4073 0.1802
0.0250 0.2492 0.0142
0.0250 0.2508 0.5142
0.2636 0.7494 0.8735
0.2636 0.7506 0.3735
0.2680 0.5695 0.7115
0.2680 0.9305 0.2115
0.2690 0.5713 0.2128
0.2690 0.9287 0.7128
0.2845 0.0750 0.5092
0.2845 0.4250 0.0092
0.2881 0.0769 0.0080
0.2881 0.4231 0.5080
0.4435 0.2411 0.4150
0.4435 0.2589 0.9150
0.4622 0.2485 0.7339
0.4622 0.2515 0.2339
0.5378 0.7485 0.7661
0.5378 0.7515 0.2661
0.5565 0.7411 0.0850
0.5565 0.7589 0.5850
0.7119 0.5769 0.4920
0.7119 0.9231 0.9920
0.7155 0.5750 0.9908
0.7155 0.9250 0.4908
0.7310 0.0713 0.2872
0.7310 0.4287 0.7872
0.7320 0.0695 0.7885
0.7320 0.4305 0.2885
0.7364 0.2494 0.6265
0.7364 0.2506 0.1265
0.9750 0.7492 0.4858
0.9750 0.7508 0.9858
0.9796 0.5927 0.8198
0.9796 0.9073 0.3198
0.9806 0.5921 0.3203
0.9806 0.9079 0.8203
0.0087 0.2497 0.3375
0.0087 0.2503 0.8375
0.2624 0.7486 0.5450
0.2624 0.7514 0.0450
0.7376 0.2486 0.9550
0.7376 0.2514 0.4550
0.9913 0.7497 0.1625
0.9913 0.7503 0.6625
0.2369 0.2503 0.2119
0.2369 0.2497 0.7119
0.4849 0.7454 0.8922
0.4849 0.7546 0.3922
0.5151 0.2454 0.6078
0.5151 0.2546 0.1078
0.7631 0.7503 0.2881
0.7631 0.7497 0.7881
```

Calculated values
- Energy above the most stable polymorph in this dataset: 45.7 meV/atom
- Formation energy without anion corrections: -0.8578 eV per atom

---

Number 1: electronic total energy -0.1838 hartree per atom, magnetization 4.291 μB per cell. Number 2: electronic total energy -0.3011 hartree per atom, magnetization 0.002 μB per cell. Number 3: electronic total energy -0.2362 hartree per atom, magnetization 0.001 μB per cell. Number 4: electronic total energy -0.1562 hartree per atom, magnetization 0.000 μB per cell. Number 5: electronic total energy -0.2599 hartree per atom, magnetization 0.000 μB per cell. Number 6: electronic total energy -0.1921 hartree per atom, magnetization 2.553 μB per cell. Number 7: electronic total energy -0.1824 hartree per atom, magnetization 0.818 μB per cell. Number 8: electronic total energy -0.1371 hartree per atom, magnetization 0.000 μB per cell. Number 9: electronic total energy -0.1110 hartree per atom, magnetization 0.000 μB per cell. Number 10: electronic total energy -0.1276 hartree per atom, magnetization 0.001 μB per cell. Number 11: electronic total energy -0.1104 hartree per atom, magnetization 0.001 μB per cell. Number 12: electronic total energy -0.0924 hartree per atom, magnetization 0.002 μB per cell. Number 13: electronic total energy -0.1949 hartree per atom, magnetization 0.000 μB per cell. Number 14: electronic total energy -0.2019 hartree per atom, magnetization 0.639 μB per cell. Number 15: electronic total energy -0.1388 hartree per atom, magnetization 0.000 μB per cell. Number 16: electronic total energy -0.4127 hartree per atom, magnetization 0.000 μB per cell. Number 17: electronic total energy -0.1364 hartree per atom, magnetization 3.072 μB per cell. Number 18: electronic total energy -0.0400 hartree per atom, magnetization 0.000 μB per cell. Number 19: electronic total energy -0.1419 hartree per atom, magnetization 0.000 μB per cell. Number 20: electronic total energy -0.1783 hartree per atom, magnetization 3.795 μB per cell. Number 21: electronic total energy -0.1308 hartree per atom, magnetization 0.000 μB per cell. Number 22: electronic total energy -0.2469 hartree per atom, magnetization 0.002 μB per cell. Number 23: electronic total energy -0.1432 hartree per atom, magnetization 0.000 μB per cell. Number 24: electronic total energy -0.3707 hartree per atom, magnetization 0.182 μB per cell. Number 25: electronic total energy -0.1162 hartree per atom, magnetization 0.000 μB per cell. Number 26: electronic total energy -0.1301 hartree per atom, magnetization 0.000 μB per cell.